(1)
First-principles (PBE) data for a geometry-optimized SmSc4Ir5 structure, as listed in Alexandria via LeMat-Bulk.

## Properties
Energy of formation, kcal/mol of atoms: -21.25
Fermi-level density of states, states/eV/f.u.: 2.16

Structure (CIF):
```
data_SmSc4Ir5
_chemical_formula_sum 'Sm1 Sc4 Ir5'
_cell_length_a 3.197
_cell_length_b 3.197
_cell_length_c 17.271
_cell_angle_alpha 90.00
_cell_angle_beta 90.00
_cell_angle_gamma 90.00
_space_group_name_H-M_alt 'P 4/m m m'
_space_group_IT_number 123
_space_group_name_Hall '-P 4 2'
loop_
_atom_site_label
_atom_site_fract_x
_atom_site_fract_y
_atom_site_fract_z
Sm1 0.000 0.000 0.000
Sc1 0.000 0.000 0.210
Sc2 0.000 0.000 0.404
Ir1 0.500 0.500 0.118
Ir2 0.500 0.500 0.309
Ir3 0.500 0.500 0.500
```

(2)
First-principles (PBE) data for a geometry-optimized SmSc2Ir structure, as listed in Alexandria via LeMat-Bulk.

## Properties
Polymorph energy (0 for the lowest one), eV per formula unit: 0.27
Energy of formation, kcal/mol of atoms: -11.29
Fermi-level density of states, states/eV/f.u.: 4.18

Structure (CIF):
```
data_SmSc2Ir
_chemical_formula_sum 'Sm1 Sc2 Ir1'
_cell_length_a 3.269
_cell_length_b 3.269
_cell_length_c 8.470
_cell_angle_alpha 90.00
_cell_angle_beta 90.00
_cell_angle_gamma 90.00
_space_group_name_H-M_alt 'P 4/m m m'
_space_group_IT_number 123
_space_group_name_Hall '-P 4 2'
loop_
_atom_site_label
_atom_site_fract_x
_atom_site_fract_y
_atom_site_fract_z
Sm1 0.000 0.000 0.000
Sc1 0.500 0.500 0.314
Ir1 0.000 0.000 0.500
```